1.
The following is a DFT calculation (PBE) of a relaxed La4InBr5 crystal.

Formation energy (no corrections) (meV per atom): -1423
Crystal system: monoclinic

Unit cell a=18.936 b=4.230 c=9.318 alpha=90.00 beta=102.06 gamma=90.00
Space group C2/m (No. 12)
One atom of each set of equivalent atoms:
La  0.005  0.000  0.249 (multiplicity 4)
La  0.169  0.500  0.069 (multiplicity 4)
In  0.000  0.500  0.000 (multiplicity 2)
Br  0.000  0.500  0.500 (multiplicity 2)
Br  0.164  0.000  0.819 (multiplicity 4)
Br  0.171  0.000  0.312 (multiplicity 4)



2.
The following is a DFT calculation (PBE) of a relaxed La5In3Br crystal.

Formation energy (no corrections) (meV per atom): -676
Crystal system: hexagonal

Unit cell a=9.8086 b=9.8086 c=6.9046 alpha=90.00 beta=90.00 gamma=120.00
Space group P6_3/mcm (No. 193)
One atom of each set of equivalent atoms:
La  0.0000  0.2662  0.2500 (multiplicity 6)
La  0.3333  0.6667  0.0000 (multiplicity 4)
In  0.0000  0.3890  0.7500 (multiplicity 6)
Br  0.0000  0.0000  0.0000 (multiplicity 2)



3.
The following is a DFT calculation (PBE) of a relaxed LaInBr crystal.

Formation energy (no corrections) (meV per atom): -405
Crystal system: cubic

Unit cell a=7.493 b=7.493 c=7.493 alpha=90.00 beta=90.00 gamma=90.00
Space group F-43m (No. 216)
One atom of each set of equivalent atoms:
La  0.000  0.000  0.000 (multiplicity 4)
In  0.250  0.250  0.250 (multiplicity 4)
Br  0.250  0.250  0.750 (multiplicity 4)



4.
The following is a DFT calculation (PBE) of a relaxed LaInBr crystal.

Formation energy (no corrections) (meV per atom): -764
Crystal system: trigonal

Unit cell a=3.8760 b=3.8760 c=7.9030 alpha=90.00 beta=90.00 gamma=120.00
Space group P3m1 (No. 156)
One atom of each set of equivalent atoms:
La  0.0000  0.0000  0.0000 (multiplicity 1)
In  0.3333  0.6667  0.6855 (multiplicity 1)
Br  0.6667  0.3333  0.2657 (multiplicity 1)



5.
The following is a DFT calculation (PBE) of a relaxed LaIn5Br8 crystal.

Formation energy (no corrections) (meV per atom): -1028
Crystal system: tetragonal

Unit cell a=9.746 b=9.746 c=10.135 alpha=90.00 beta=90.00 gamma=90.00
Space group I-4 (No. 82)
One atom of each set of equivalent atoms:
La  0.000  0.000  0.000 (multiplicity 2)
In  0.000  0.500  0.750 (multiplicity 2)
In  0.121  0.237  0.375 (multiplicity 8)
Br  0.064  0.173  0.741 (multiplicity 8)
Br  0.071  0.294  0.076 (multiplicity 8)



6.
The following is a DFT calculation (PBE) of a relaxed La2In2Br crystal.

Formation energy (no corrections) (meV per atom): -726
Crystal system: tetragonal

Unit cell a=8.165 b=8.165 c=4.955 alpha=90.00 beta=90.00 gamma=90.00
Space group P4/mbm (No. 127)
One atom of each set of equivalent atoms:
La  0.167  0.333  0.000 (multiplicity 4)
In  0.131  0.631  0.500 (multiplicity 4)
Br  0.000  0.000  0.000 (multiplicity 2)



7.
The following is a DFT calculation (PBE) of a relaxed La2In2Br crystal.

Formation energy (no corrections) (meV per atom): -231
Crystal system: tetragonal

Unit cell a=6.134 b=6.134 c=9.613 alpha=90.00 beta=90.00 gamma=90.00
Space group I4/mmm (No. 139)
One atom of each set of equivalent atoms:
La  0.000  0.500  0.250 (multiplicity 4)
In  0.000  0.000  0.141 (multiplicity 4)
Br  0.000  0.000  0.500 (multiplicity 2)



8.
The following is a DFT calculation (PBE) of a relaxed LaInBr crystal.

Formation energy (no corrections) (meV per atom): -1172
Crystal system: monoclinic

Unit cell a=8.043 b=4.643 c=11.376 alpha=90.00 beta=103.71 gamma=90.00
Space group C2/m (No. 12)
One atom of each set of equivalent atoms:
La  0.069  0.000  0.207 (multiplicity 4)
In  0.152  0.500  0.957 (multiplicity 4)
Br  0.214  0.000  0.645 (multiplicity 4)



9.
The following is a DFT calculation (PBE) of a relaxed La2In2Br crystal.

Formation energy (no corrections) (meV per atom): -507
Crystal system: tetragonal

Unit cell a=4.245 b=4.245 c=17.450 alpha=90.00 beta=90.00 gamma=90.00
Space group I4/mmm (No. 139)
One atom of each set of equivalent atoms:
La  0.000  0.000  0.103 (multiplicity 4)
In  0.000  0.500  0.250 (multiplicity 4)
Br  0.000  0.000  0.500 (multiplicity 2)



10.
The following is a DFT calculation (PBE) of a relaxed LaIn3Br crystal.

Formation energy (no corrections) (meV per atom): 476
Crystal system: cubic

Unit cell a=6.280 b=6.280 c=6.280 alpha=90.00 beta=90.00 gamma=90.00
Space group Pm-3m (No. 221)
One atom of each set of equivalent atoms:
La  0.000  0.000  0.000 (multiplicity 1)
In  0.000  0.000  0.500 (multiplicity 3)
Br  0.500  0.500  0.500 (multiplicity 1)



11.
The following is a DFT calculation (PBE) of a relaxed La4InBr5 crystal.

Formation energy (no corrections) (meV per atom): -1384
Crystal system: monoclinic

Unit cell a=20.447 b=4.274 c=7.772 alpha=90.00 beta=101.25 gamma=90.00
Space group C2/m (No. 12)
One atom of each set of equivalent atoms:
La  0.064  0.000  0.282 (multiplicity 4)
La  0.126  0.500  0.807 (multiplicity 4)
In  0.000  0.500  0.500 (multiplicity 2)
Br  0.000  0.500  0.000 (multiplicity 2)
Br  0.182  0.000  0.594 (multiplicity 4)
Br  0.183  0.000  0.086 (multiplicity 4)



12.
The following is a DFT calculation (PBE) of a relaxed LaInBr4 crystal.

Formation energy (no corrections) (meV per atom): -339
Crystal system: cubic

Unit cell a=9.036 b=9.036 c=9.036 alpha=90.00 beta=90.00 gamma=90.00
Space group F-43m (No. 216)
One atom of each set of equivalent atoms:
La  0.000  0.000  0.000 (multiplicity 4)
In  0.250  0.250  0.250 (multiplicity 4)
Br  0.125  0.125  0.625 (multiplicity 16)



Per-record volume, Å³ per atom: 36.5; 32.0; 35.1; 34.3; 34.4; 33.0; 36.2; 34.4; 31.4; 49.5; 33.3; 30.7